Entry 1:
This record from Alexandria via LeMat-Bulk describes a relaxed structure of NaCrTc2. The functional is PBE.

a b c (Å): 6.110 6.110 6.110
angles (deg): 90.00 90.00 90.00
Space group Fm-3m (No. 225)
Unique sites:
Na 0.000 0.000 0.000
Cr 0.000 0.000 0.500
Tc 0.250 0.250 0.250


Entry 2:
This record from Alexandria via LeMat-Bulk describes a relaxed structure of NaCrTc. The functional is PBE.

a b c (Å): 2.971 2.971 12.395
angles (deg): 90.00 90.00 90.00
Space group P4mm (No. 99)
Unique sites:
Na 0.000 0.000 0.000
Na 0.500 0.500 0.262
Cr 0.500 0.500 0.565
Cr 0.500 0.500 0.802
Tc 0.000 0.000 0.462
Tc 0.000 0.000 0.701


| no. | ΔE_f (eV/atom) | total energy (eV/atom) | distance to the lowest polymorph of the same formula (eV per formula unit) |
| --- | --- | --- | --- |
| 1 | 0.88 | -7.043 | 0.000 |
| 2 | 0.40 | -6.705 | 0.016 |